Entry 1:
VASP calculation (PBE) on a geometry-optimized NbTlCuIr structure.

Cell lengths 4.5635, 4.5635, 4.5635 Å; angles 60.00, 60.00, 60.00 degrees
Closest atoms and distances in Å follow each position.
Element x y z (fractional)
Ir 0.5000 0.5000 0.5000  4 Cu 2.79, 4 Nb 2.79
Tl 0.0000 0.0000 0.0000  4 Nb 2.79, 4 Cu 2.79
Nb 0.2500 0.2500 0.2500  4 Ir 2.79, 4 Tl 2.79
Cu 0.7500 0.7500 0.7500  4 Tl 2.79, 4 Ir 2.79

Summary:
electronic total energy	-6.0377	eV per atom
theoretical density	13.666	Mg/m³

=====

Entry 2:
VASP calculation (PBE) on a geometry-optimized YNbCuIr structure.

Cell lengths 4.6806, 4.6806, 4.6806 Å; angles 60.00, 60.00, 60.00 degrees
Closest atoms and distances in Å follow each position.
Element x y z (fractional)
Ir 0.2500 0.2500 0.2500  4 Nb 2.87, 4 Y 2.87
Nb 0.5000 0.5000 0.5000  4 Ir 2.87, 4 Cu 2.87
Cu 0.7500 0.7500 0.7500  4 Nb 2.87, 4 Y 2.87
Y 0.0000 0.0000 0.0000  4 Cu 2.87, 4 Ir 2.87

Summary:
ΔH_f (0 K)	-202	meV per atom
electronic total energy	-7.4845	eV per atom
theoretical density	10.021	Mg/m³

=====

Entry 3:
VASP calculation (PBE) on a geometry-optimized YNbCuIr structure.

Cell lengths 4.5823, 4.5823, 4.5823 Å; angles 60.00, 60.00, 60.00 degrees
Closest atoms and distances in Å follow each position.
Element x y z (fractional)
Cu 0.7500 0.7500 0.7500  4 Ir 2.81, 4 Y 2.81
Y 0.0000 0.0000 0.0000  4 Cu 2.81, 4 Nb 2.81
Nb 0.2500 0.2500 0.2500  4 Ir 2.81, 4 Y 2.81
Ir 0.5000 0.5000 0.5000  4 Cu 2.81, 4 Nb 2.81

Summary:
ΔH_f (0 K)	-160	meV per atom
electronic total energy	-7.4430	eV per atom
theoretical density	10.680	Mg/m³

=====

Entry 4:
VASP calculation (PBE) on a geometry-optimized Nd2CuSb4Ir structure.

Cell lengths 4.4287, 4.4287, 9.9653 Å; angles 90.00, 90.00, 90.00 degrees
Closest atoms and distances in Å follow each position.
Element x y z (fractional)
Sb 0.5000 0.0000 0.8514  2 Cu 2.66, 2 Ir 2.66
Sb 0.0000 0.0000 0.5000  4 Sb 3.13, 4 Nd 3.35
Sb 0.0000 0.5000 0.1486  2 Cu 2.66, 2 Ir 2.66
Sb 0.5000 0.5000 0.5000  4 Sb 3.13, 4 Nd 3.35
Nd 0.5000 0.0000 0.2475  8 Sb 3.28-3.35, 2 Ir 3.31, 2 Cu 3.31
Nd 0.0000 0.5000 0.7525  8 Sb 3.28-3.35, 2 Cu 3.31, 2 Ir 3.31
Ir 0.5000 0.5000 0.0000  4 Sb 2.66
Cu 0.0000 0.0000 0.0000  4 Sb 2.66

Summary:
electronic total energy	-5.4631	eV per atom
theoretical density	8.762	Mg/m³

=====

Entry 5:
VASP calculation (PBE) on a geometry-optimized CuNiIr2 structure.

Cell lengths 4.2214, 4.2214, 4.2214 Å; angles 60.00, 60.00, 60.00 degrees
Closest atoms and distances in Å follow each position.
Element x y z (fractional)
Ni 0.0000 0.0000 0.0000  4 Cu 2.59, 4 Ir 2.59
Cu 0.7500 0.7500 0.7500  4 Ir 2.59, 4 Ni 2.59
Ir 0.2500 0.2500 0.2500  4 Ir 2.59, 4 Ni 2.59
Ir 0.5000 0.5000 0.5000  4 Cu 2.59, 4 Ir 2.59

Summary:
ΔH_f (0 K)	256	meV per atom
electronic total energy	-6.4927	eV per atom
theoretical density	15.817	Mg/m³

=====

Entry 6:
VASP calculation (PBE) on a geometry-optimized CuNiIrPb structure.

Cell lengths 4.4013, 4.4013, 4.4013 Å; angles 60.00, 60.00, 60.00 degrees
Closest atoms and distances in Å follow each position.
Element x y z (fractional)
Cu 0.7500 0.7500 0.7500  4 Ir 2.70, 4 Pb 2.70
Pb 0.0000 0.0000 0.0000  4 Ni 2.70, 4 Cu 2.70
Ni 0.2500 0.2500 0.2500  4 Ir 2.70, 4 Pb 2.70
Ir 0.5000 0.5000 0.5000  4 Ni 2.70, 4 Cu 2.70

Summary:
electronic total energy	-5.1052	eV per atom
theoretical density	14.368	Mg/m³

=====

Entry 7:
VASP calculation (PBE) on a geometry-optimized CuNiIrPb structure.

Cell lengths 4.4396, 4.4396, 4.4396 Å; angles 60.00, 60.00, 60.00 degrees
Closest atoms and distances in Å follow each position.
Element x y z (fractional)
Pb 0.0000 0.0000 0.0000  4 Cu 2.72, 4 Ir 2.72
Cu 0.7500 0.7500 0.7500  4 Ni 2.72, 4 Pb 2.72
Ir 0.2500 0.2500 0.2500  4 Ni 2.72, 4 Pb 2.72
Ni 0.5000 0.5000 0.5000  4 Ir 2.72, 4 Cu 2.72

Summary:
electronic total energy	-5.1119	eV per atom
theoretical density	14.000	Mg/m³

=====

Entry 8:
VASP calculation (PBE) on a geometry-optimized CuNiSnIr structure.

Cell lengths 4.3582, 4.3582, 4.3582 Å; angles 60.00, 60.00, 60.00 degrees
Closest atoms and distances in Å follow each position.
Element x y z (fractional)
Cu 0.7500 0.7500 0.7500  4 Sn 2.67, 4 Ni 2.67
Sn 0.0000 0.0000 0.0000  4 Cu 2.67, 4 Ir 2.67
Ir 0.2500 0.2500 0.2500  4 Ni 2.67, 4 Sn 2.67
Ni 0.5000 0.5000 0.5000  4 Ir 2.67, 4 Cu 2.67

Summary:
electronic total energy	-5.5307	eV per atom
theoretical density	12.288	Mg/m³

=====

Entry 9:
VASP calculation (PBE) on a geometry-optimized TbCuNi3Ir structure.

Cell lengths 5.0055, 5.0055, 4.0489 Å; angles 90.00, 90.00, 120.00 degrees
Closest atoms and distances in Å follow each position.
Element x y z (fractional)
Tb 0.6667 0.3333 0.0000  3 Ir 2.89, 3 Cu 2.89, 12 Ni 3.22
Ni 0.1646 0.3293 0.5000  4 Ni 2.47-2.53, 2 Cu 2.48, 2 Ir 2.50
Ni 0.6707 0.8354 0.5000  4 Ni 2.47-2.53, 2 Cu 2.48, 2 Ir 2.50
Ni 0.1646 0.8354 0.5000  4 Ni 2.47-2.53, 2 Cu 2.48, 2 Ir 2.50
Ir 0.3333 0.6667 0.0000  6 Ni 2.50
Cu 0.0000 0.0000 0.0000  6 Ni 2.48

Summary:
ΔH_f (0 K)	-323	meV per atom
electronic total energy	-5.9739	eV per atom
theoretical density	11.166	Mg/m³

=====

Entry 10:
VASP calculation (PBE) on a geometry-optimized Tm3Zn3CuNiIr structure.

Cell lengths 7.0960, 7.0960, 3.7207 Å; angles 90.00, 90.00, 120.00 degrees
Closest atoms and distances in Å follow each position.
Element x y z (fractional)
Ir 0.6667 0.3333 0.5000  3 Zn 2.73, 6 Tm 2.84
Cu 0.0000 0.0000 0.0000  6 Zn 2.57
Zn 0.7490 0.9968 0.5000  2 Cu 2.57, 1 Ni 2.70, 1 Ir 2.73
Zn 0.0032 0.7522 0.5000  2 Cu 2.57, 1 Ni 2.70, 1 Ir 2.73
Zn 0.2478 0.2510 0.5000  2 Cu 2.57, 1 Ni 2.70, 1 Ir 2.73
Tm 0.0005 0.4130 0.0000  2 Ni 2.83, 2 Ir 2.84, 1 Cu 2.93, 4 Zn 3.03-3.14
Tm 0.5870 0.5875 0.0000  2 Ni 2.83, 2 Ir 2.84, 1 Cu 2.93, 4 Zn 3.03-3.14
Tm 0.4125 0.9995 0.0000  2 Ni 2.83, 2 Ir 2.84, 1 Cu 2.93, 4 Zn 3.03-3.14
Ni 0.3333 0.6667 0.5000  3 Zn 2.70, 6 Tm 2.83

Summary:
ΔH_f (0 K)	-536	meV per atom
electronic total energy	-4.4650	eV per atom
theoretical density	10.413	Mg/m³

=====

Entry 11:
VASP calculation (PBE) on a geometry-optimized NpCuIr structure.

Cell lengths 4.4139, 4.4139, 4.4139 Å; angles 60.00, 60.00, 60.00 degrees
Closest atoms and distances in Å follow each position.
Element x y z (fractional)
Ir 0.7500 0.7500 0.7500  4 Np 2.70
Np 0.0000 0.0000 0.0000  4 Ir 2.70, 4 Cu 2.70
Cu 0.2500 0.2500 0.2500  4 Np 2.70

Summary:
ΔH_f (0 K)	471	meV per atom
electronic total energy	-7.9766	eV per atom
theoretical density	13.457	Mg/m³

=====

Entry 12:
VASP calculation (PBE) on a geometry-optimized NpCuIr structure.

Cell lengths 4.4023, 4.4023, 4.4023 Å; angles 60.00, 60.00, 60.00 degrees
Closest atoms and distances in Å follow each position.
Element x y z (fractional)
Ir 0.2500 0.2500 0.2500  4 Cu 2.70, 4 Np 2.70
Np 0.5000 0.5000 0.5000  4 Ir 2.70
Cu 0.0000 0.0000 0.0000  4 Ir 2.70

Summary:
ΔH_f (0 K)	147	meV per atom
electronic total energy	-8.3003	eV per atom
theoretical density	13.564	Mg/m³

=====

Entry 13:
VASP calculation (PBE) on a geometry-optimized CuIrOsPb structure.

Cell lengths 4.5190, 4.5190, 4.5190 Å; angles 60.00, 60.00, 60.00 degrees
Closest atoms and distances in Å follow each position.
Element x y z (fractional)
Ir 0.5000 0.5000 0.5000  4 Cu 2.77, 4 Os 2.77
Cu 0.7500 0.7500 0.7500  4 Ir 2.77, 4 Pb 2.77
Pb 0.0000 0.0000 0.0000  4 Cu 2.77, 4 Os 2.77
Os 0.2500 0.2500 0.2500  4 Pb 2.77, 4 Ir 2.77

Summary:
electronic total energy	-6.1509	eV per atom
theoretical density	16.622	Mg/m³

=====

Entry 14:
VASP calculation (PBE) on a geometry-optimized TlCuIrOs structure.

Cell lengths 4.4830, 4.4830, 4.4830 Å; angles 60.00, 60.00, 60.00 degrees
Closest atoms and distances in Å follow each position.
Element x y z (fractional)
Tl 0.0000 0.0000 0.0000  4 Os 2.75, 4 Cu 2.75
Os 0.2500 0.2500 0.2500  4 Tl 2.75, 4 Ir 2.75
Cu 0.7500 0.7500 0.7500  4 Tl 2.75, 4 Ir 2.75
Ir 0.5000 0.5000 0.5000  4 Os 2.75, 4 Cu 2.75

Summary:
electronic total energy	-5.7930	eV per atom
theoretical density	16.952	Mg/m³